*i*
{
  "formula": "NaSiTe2N",
  "functional": "PBEsol",
  "state": "relaxed",
  "cell": [[-1.443, -1.300, 3.683], [-3.660, -3.141, -2.543], [3.572, -4.119, -0.055]],
  "species": ["Te", "Te", "Si", "N", "Na"],
  "fractional_positions": [[0.000, 0.000, 0.500], [0.000, 0.500, 0.000], [0.500, 0.500, 0.500], [0.500, 0.000, 0.000], [0.000, 0.000, 0.000]],
  "space_group": "P4/mmm",
  "volume_a3_per_cell": 124,
  "rho_g_cm3": 4.30
}


*ii*
{
  "formula": "NaSiTe2N",
  "functional": "PBEsol",
  "state": "relaxed",
  "cell": [[3.276, 0.000, 0.000], [0.000, 5.725, 0.000], [0.000, 0.000, 5.725]],
  "species": ["Te", "Te", "N", "Si", "Na"],
  "fractional_positions": [[0.000, 0.500, 0.000], [0.000, 0.000, 0.500], [0.500, 0.000, 0.000], [0.000, 0.000, 0.000], [0.500, 0.500, 0.500]],
  "space_group": "P4/mmm",
  "volume_a3_per_cell": 107,
  "rho_g_cm3": 4.95
}


Which one is most stable, and which one is least stable? *ii* is the most stable of them, while *i* is the least stable.


*i*
{
  "formula": "NbPSe2N",
  "functional": "PBEsol",
  "state": "relaxed",
  "cell": [[-3.118, -1.800, 1.292], [2.944, -3.483, 2.254], [0.116, 2.832, 4.224]],
  "species": ["N", "Nb", "Se", "Se", "P"],
  "fractional_positions": [[0.500, 0.000, 0.000], [0.000, 0.000, 0.000], [0.000, 0.500, 0.000], [0.000, 0.000, 0.500], [0.500, 0.500, 0.500]],
  "space_group": "P4/mmm",
  "volume_a3_per_cell": 99,
  "rho_g_cm3": 4.96
}


*ii*
{
  "formula": "NbPSe2N",
  "functional": "PBEsol",
  "state": "relaxed",
  "cell": [[3.251, 0.000, 0.000], [0.000, 4.916, 0.000], [0.000, 0.000, 4.916]],
  "species": ["Nb", "Se", "Se", "P", "N"],
  "fractional_positions": [[0.500, 0.500, 0.500], [0.000, 0.000, 0.500], [0.000, 0.500, 0.000], [0.000, 0.000, 0.000], [0.500, 0.000, 0.000]],
  "space_group": "P4/mmm",
  "volume_a3_per_cell": 79,
  "rho_g_cm3": 6.25
}


Which one is most stable, and which one is least stable? *ii* is the most stable of them, while *i* is the least stable.


*i*
{
  "formula": "RbNi3N",
  "functional": "PBEsol",
  "state": "relaxed",
  "cell": [[-2.360, -3.238, 1.975], [2.912, -3.037, -1.501], [2.430, 0.495, 3.715]],
  "species": ["N", "Ni", "Ni", "Ni", "Rb"],
  "fractional_positions": [[0.500, 0.500, 0.500], [0.000, 0.000, 0.500], [0.000, 0.500, 0.000], [0.500, 0.000, 0.000], [0.000, 0.000, 0.000]],
  "space_group": "Pm-3m",
  "volume_a3_per_cell": 89,
  "rho_g_cm3": 5.13
}


*ii*
{
  "formula": "RbNi3N",
  "functional": "PBEsol",
  "state": "relaxed",
  "cell": [[3.982, 0.000, 0.000], [0.000, 3.982, 0.000], [0.000, 0.000, 3.982]],
  "species": ["N", "Ni", "Ni", "Ni", "Rb"],
  "fractional_positions": [[0.000, 0.000, 0.000], [0.000, 0.000, 0.500], [0.500, 0.000, 0.000], [0.000, 0.500, 0.000], [0.500, 0.500, 0.500]],
  "space_group": "Pm-3m",
  "volume_a3_per_cell": 63,
  "rho_g_cm3": 7.25
}


Which one is most stable, and which one is least stable? *ii* is the most stable of them, while *i* is the least stable.


*i*
{
  "formula": "NiRhN2",
  "functional": "PBEsol",
  "state": "relaxed",
  "cell": [[-0.350, 0.164, -2.707], [1.544, -1.516, -1.672], [-3.629, -4.832, -1.205]],
  "species": ["N", "N", "Rh", "Ni"],
  "fractional_positions": [[0.893, 0.893, 0.320], [0.107, 0.107, 0.680], [0.000, 0.000, 0.000], [0.500, 0.500, 0.500]],
  "space_group": "R-3m",
  "volume_a3_per_cell": 39,
  "rho_g_cm3": 8.16
}


*ii*
{
  "formula": "NiRhN2",
  "functional": "PBEsol",
  "state": "relaxed",
  "cell": [[2.899, 0.000, 0.000], [1.449, 2.510, 0.000], [1.449, 0.837, 5.820]],
  "species": ["Rh", "Ni", "N", "N"],
  "fractional_positions": [[0.500, 0.500, 0.500], [0.000, 0.000, 0.000], [0.101, 0.101, 0.697], [0.899, 0.899, 0.303]],
  "space_group": "R-3m",
  "volume_a3_per_cell": 42,
  "rho_g_cm3": 7.43
}


Which one is most stable, and which one is least stable? *i* is the most stable of them, while *ii* is the least stable.


*i*
{
  "formula": "OsN",
  "functional": "PBEsol",
  "state": "relaxed",
  "cell": [[2.665, 0.000, 0.000], [0.000, 2.665, 0.000], [0.000, 0.000, 6.128]],
  "species": ["N", "N", "Os", "Os"],
  "fractional_positions": [[0.000, 0.000, 0.750], [0.000, 0.000, 0.250], [0.000, 0.500, 0.000], [0.500, 0.000, 0.500]],
  "space_group": "P4_2/mmc",
  "volume_a3_per_cell": 44,
  "rho_g_cm3": 15.59
}


*ii*
{
  "formula": "OsN",
  "functional": "PBEsol",
  "state": "relaxed",
  "cell": [[3.222, 0.000, 0.000], [1.611, 2.791, 0.000], [1.611, 0.930, 2.631]],
  "species": ["N", "Os"],
  "fractional_positions": [[0.750, 0.750, 0.750], [0.000, 0.000, 0.000]],
  "space_group": "F-43m",
  "volume_a3_per_cell": 24,
  "rho_g_cm3": 14.34
}


Which one is most stable, and which one is least stable? *i* is the most stable of them, while *ii* is the least stable.


*i*
{
  "formula": "OsN2",
  "functional": "PBEsol",
  "state": "relaxed",
  "cell": [[2.791, 0.000, 0.000], [-1.395, 2.417, 0.000], [0.000, 0.000, 4.929]],
  "species": ["N", "N", "Os"],
  "fractional_positions": [[0.000, 0.000, 0.617], [0.000, 0.000, 0.383], [0.000, 0.000, 0.000]],
  "space_group": "P6/mmm",
  "volume_a3_per_cell": 33,
  "rho_g_cm3": 10.90
}


*ii*
{
  "formula": "OsN2",
  "functional": "PBEsol",
  "state": "relaxed",
  "cell": [[3.415, 0.000, 0.000], [1.708, 2.958, 0.000], [1.708, 0.986, 2.788]],
  "species": ["Os", "N", "N"],
  "fractional_positions": [[0.000, 0.000, 0.000], [0.250, 0.250, 0.250], [0.750, 0.750, 0.750]],
  "space_group": "Fm-3m",
  "volume_a3_per_cell": 28,
  "rho_g_cm3": 12.87
}


Which one is most stable, and which one is least stable? *i* is the most stable of them, while *ii* is the least stable.


*i*
{
  "formula": "RbTeOsN2",
  "functional": "PBEsol",
  "state": "relaxed",
  "cell": [[-2.327, -1.943, 2.694], [-1.400, -2.409, -2.947], [4.110, -3.575, 0.971]],
  "species": ["N", "N", "Te", "Os", "Rb"],
  "fractional_positions": [[0.000, 0.500, 0.000], [0.500, 0.000, 0.000], [0.000, 0.000, 0.500], [0.000, 0.000, 0.000], [0.500, 0.500, 0.500]],
  "space_group": "P4/mmm",
  "volume_a3_per_cell": 91,
  "rho_g_cm3": 7.87
}


*ii*
{
  "formula": "RbTeOsN2",
  "functional": "PBEsol",
  "state": "relaxed",
  "cell": [[-1.946, 2.709, 2.521], [-2.100, -3.154, 1.768], [4.841, -0.705, 4.495]],
  "species": ["Te", "N", "N", "Rb", "Os"],
  "fractional_positions": [[0.000, 0.000, 0.500], [0.500, 0.000, 0.000], [0.000, 0.500, 0.000], [0.000, 0.000, 0.000], [0.500, 0.500, 0.500]],
  "space_group": "P4/mmm",
  "volume_a3_per_cell": 116,
  "rho_g_cm3": 6.17
}


Which one is most stable, and which one is least stable? *i* is the most stable of them, while *ii* is the least stable.


*i*
{
  "formula": "SbTeOsN2",
  "functional": "PBEsol",
  "state": "relaxed",
  "cell": [[-0.596, -1.811, 3.445], [3.760, 0.631, 0.983], [-1.451, 4.966, 2.360]],
  "species": ["Te", "Os", "N", "N", "Sb"],
  "fractional_positions": [[0.000, 0.000, 0.500], [0.000, 0.000, 0.000], [0.000, 0.500, 0.000], [0.500, 0.000, 0.000], [0.500, 0.500, 0.500]],
  "space_group": "P4/mmm",
  "volume_a3_per_cell": 88,
  "rho_g_cm3": 8.81
}


*ii*
{
  "formula": "SbTeOsN2",
  "functional": "PBEsol",
  "state": "relaxed",
  "cell": [[3.912, 0.000, 0.000], [0.000, 3.912, 0.000], [0.000, 0.000, 6.277]],
  "species": ["N", "N", "Sb", "Te", "Os"],
  "fractional_positions": [[0.500, 0.000, 0.000], [0.000, 0.500, 0.000], [0.000, 0.000, 0.000], [0.000, 0.000, 0.500], [0.500, 0.500, 0.500]],
  "space_group": "P4/mmm",
  "volume_a3_per_cell": 96,
  "rho_g_cm3": 8.08
}


Which one is most stable, and which one is least stable? *i* is the most stable of them, while *ii* is the least stable.